(1)
# GdDyY2

An optimized crystal structure of GdDyY2 (PBE, the Alexandria database).

a = 5.692 Å, b = 5.692 Å, c = 5.692 Å
α = 60.00°, β = 60.00°, γ = 60.00°
Atoms (fractional coordinates):
1 Gd 0.000 0.000 0.000
2 Dy 0.500 0.500 0.500
3 Y 0.250 0.250 0.250
4 Y 0.750 0.750 0.750

Formation energy from the elements = 0.1151 eV/atom
E above lowest polymorph = 91 meV per atom
Space group = Fm-3m, No. 225
Energy = -7.79 eV/atom

---

(2)
# Na3Tm3SnS8

An optimized crystal structure of Na3Tm3SnS8 (PBE, the Alexandria database).

a = 8.122 Å, b = 8.122 Å, c = 8.122 Å
α = 57.24°, β = 57.24°, γ = 57.24°
Atoms (fractional coordinates):
1 Na 0.000 0.500 0.500
2 Na 0.500 0.000 0.500
3 Na 0.500 0.500 0.000
4 Tm 0.000 0.000 0.500
5 Tm 0.000 0.500 0.000
6 Tm 0.500 0.000 0.000
7 Sn 0.500 0.500 0.500
8 S 0.240 0.240 0.240
9 S 0.252 0.733 0.733
10 S 0.267 0.267 0.748
11 S 0.267 0.748 0.267
12 S 0.733 0.252 0.733
13 S 0.733 0.733 0.252
14 S 0.748 0.267 0.267
15 S 0.760 0.760 0.760

Space group = R-3m, No. 166
Energy = -5.17 eV/atom
Energy relative to the elements, uncorrected = -1.5446 eV/atom

---

The lowest energy belongs to which entry? GdDyY2